Entry 1:
# PBE CaInTe2Os, optimized geometry
# Uncorrected formation energy   736 meV per atom
# E_tot   -18.57 eV/f.u.
# DOS(E_F)   5.0 states/eV/f.u.
data_CaInTe2Os
_chemical_formula_sum 'Ca1 In1 Te2 Os1'
_cell_length_a 5.703
_cell_length_b 5.703
_cell_length_c 5.089
_cell_angle_alpha 90.00
_cell_angle_beta 90.00
_cell_angle_gamma 90.00
_space_group_name_H-M_alt 'P 4/m m m'
_space_group_IT_number 123
_space_group_name_Hall '-P 4 2'
loop_
_atom_site_label
_atom_site_type_symbol
_atom_site_fract_x
_atom_site_fract_y
_atom_site_fract_z
Ca1 Ca 0.000 0.000 0.000
In1 In 0.500 0.500 0.500
Te1 Te 0.000 0.500 0.500
Os1 Os 0.500 0.500 0.000



Entry 2:
# PBE Pu2CdO6, optimized geometry
# Uncorrected formation energy   -2330 meV per atom
# E_tot   -80.30 eV/f.u.
# DOS(E_F)   9.7 states/eV/f.u.
data_Pu2CdO6
_chemical_formula_sum 'Pu2 Cd1 O6'
_cell_length_a 5.7871
_cell_length_b 5.7871
_cell_length_c 4.6633
_cell_angle_alpha 90.00
_cell_angle_beta 90.00
_cell_angle_gamma 120.00
_space_group_name_H-M_alt 'P -3 1 m'
_space_group_IT_number 162
_space_group_name_Hall '-P 3 2'
loop_
_atom_site_label
_atom_site_type_symbol
_atom_site_fract_x
_atom_site_fract_y
_atom_site_fract_z
Pu1 Pu 0.3333 0.6667 0.0000
Cd1 Cd 0.0000 0.0000 0.5000
O1 O 0.0000 0.3560 0.7741



Which value of DOS(E_F) does entry 1 give?
5.0 states/eV/f.u.



Look up the E_tot of the first one.
-18.57 eV/f.u.



Which of these has the lowest E_tot?
Pu2CdO6